Na2Sr3Ca2 after structural relaxation, computed with PBE-GGA.

Summary:
Energy relative to the elements ... 0.06 eV/atom
Size of the total moment ... 0.0 μB per cell
Fermi-level density of states ... 0.88 states/eV per atom
Offset from the most stable computed form ... 0.120 eV per formula unit

Cell: 6.188 26.896 3.964 Å, 90.00 90.00 90.00°
Space group Cmmm (No. 65)
Asymmetric unit:
1 Na 0.000 0.073 0.000 [4 per cell]
2 Sr 0.000 0.350 0.500 [4 per cell]
3 Sr 0.000 0.500 0.500 [2 per cell]
4 Ca 0.000 0.214 0.000 [4 per cell]


YRhSe3 after structural relaxation, computed with PBE-GGA.

Summary:
Size of the total moment ... 0.0 μB per cell
Fermi-level density of states ... 0.90 states/eV per atom
Formation energy without anion corrections ... -2.6 eV/f.u.
Offset from the most stable computed form ... 0.000 eV per formula unit

Cell: 4.888 4.888 4.888 Å, 90.00 90.00 90.00°
Space group Pm-3m (No. 221)
Asymmetric unit:
1 Y 0.000 0.000 0.000 [1 per cell]
2 Rh 0.500 0.500 0.500 [1 per cell]
3 Se 0.000 0.500 0.500 [3 per cell]


Look up the Fermi-level density of states of the first one.
0.88 states/eV per atom


Look up the Fermi-level density of states of the first one.
0.88 states/eV per atom